Entry 1:
# Fe2TcMo | the Alexandria database | PBE-GGA | optimized geometry
# - Volume: 13.605 A^3/atom
# - SG: F-43m, No. 216
# - Formation energy: 0.103 eV/atom
data_Fe2TcMo
_chemical_formula_sum 'Fe2 Tc1 Mo1'
_symmetry_space_group_name_H-M 'P 1'
_symmetry_Int_Tables_number 1
_cell_length_a 4.254
_cell_length_b 4.254
_cell_length_c 4.254
_cell_angle_alpha 60.00
_cell_angle_beta 60.00
_cell_angle_gamma 60.00
loop_
_symmetry_equiv_pos_as_xyz
'x,y,z'
loop_
_atom_site_label
_atom_site_fract_x
_atom_site_fract_y
_atom_site_fract_z
Fe1 0.000 0.000 0.000
Fe2 0.250 0.250 0.250
Tc1 0.750 0.750 0.750
Mo1 0.500 0.500 0.500

Entry 2:
# FeTcMo2 | the Alexandria database | PBE-GGA | optimized geometry
# - Volume: 14.494 A^3/atom
# - SG: I-4m2, No. 119
# - Formation energy: 0.210 eV/atom
data_FeTcMo2
_chemical_formula_sum 'Fe1 Tc1 Mo2'
_symmetry_space_group_name_H-M 'P 1'
_symmetry_Int_Tables_number 1
_cell_length_a 4.719
_cell_length_b 4.719
_cell_length_c 4.719
_cell_angle_alpha 131.34
_cell_angle_beta 131.34
_cell_angle_gamma 71.28
loop_
_symmetry_equiv_pos_as_xyz
'x,y,z'
loop_
_atom_site_label
_atom_site_fract_x
_atom_site_fract_y
_atom_site_fract_z
Fe1 0.000 0.000 0.000
Tc1 0.750 0.250 0.500
Mo1 0.250 0.750 0.500
Mo2 0.500 0.500 0.000

Entry 3:
# FeTcMo | the Alexandria database | PBE-GGA | optimized geometry
# - Volume: 13.775 A^3/atom
# - SG: Fddd, No. 70
# - Formation energy: 0.059 eV/atom
data_FeTcMo
_chemical_formula_sum 'Fe4 Tc4 Mo4'
_symmetry_space_group_name_H-M 'P 1'
_symmetry_Int_Tables_number 1
_cell_length_a 9.387
_cell_length_b 8.755
_cell_length_c 4.767
_cell_angle_alpha 82.25
_cell_angle_beta 67.54
_cell_angle_gamma 30.21
loop_
_symmetry_equiv_pos_as_xyz
'x,y,z'
loop_
_atom_site_label
_atom_site_fract_x
_atom_site_fract_y
_atom_site_fract_z
Fe1 0.001 0.001 0.249
Fe2 0.249 0.249 0.001
Fe3 0.751 0.751 0.999
Fe4 0.999 0.999 0.751
Tc1 0.046 0.704 0.046
Tc2 0.296 0.954 0.296
Tc3 0.704 0.046 0.704
Tc4 0.954 0.296 0.954
Mo1 0.297 0.297 0.453
Mo2 0.453 0.453 0.297
Mo3 0.547 0.547 0.703
Mo4 0.703 0.703 0.547

Entry 4:
# FeTcMo2 | the Alexandria database | PBE-GGA | optimized geometry
# - Volume: 14.353 A^3/atom
# - SG: P4mm, No. 99
# - Formation energy: 0.158 eV/atom
data_FeTcMo2
_chemical_formula_sum 'Fe1 Tc1 Mo2'
_symmetry_space_group_name_H-M 'P 1'
_symmetry_Int_Tables_number 1
_cell_length_a 2.663
_cell_length_b 2.663
_cell_length_c 8.095
_cell_angle_alpha 90.00
_cell_angle_beta 90.00
_cell_angle_gamma 90.00
loop_
_symmetry_equiv_pos_as_xyz
'x,y,z'
loop_
_atom_site_label
_atom_site_fract_x
_atom_site_fract_y
_atom_site_fract_z
Fe1 0.000 0.000 0.000
Tc1 0.500 0.500 0.795
Mo1 0.000 0.000 0.519
Mo2 0.500 0.500 0.233

Entry 5:
# FeTc2Mo | the Alexandria database | PBE-GGA | optimized geometry
# - Volume: 14.247 A^3/atom
# - SG: Cmmm, No. 65
# - Formation energy: 0.184 eV/atom
data_FeTc2Mo
_chemical_formula_sum 'Fe1 Tc2 Mo1'
_symmetry_space_group_name_H-M 'P 1'
_symmetry_Int_Tables_number 1
_cell_length_a 4.712
_cell_length_b 4.712
_cell_length_c 2.721
_cell_angle_alpha 90.00
_cell_angle_beta 90.00
_cell_angle_gamma 109.41
loop_
_symmetry_equiv_pos_as_xyz
'x,y,z'
loop_
_atom_site_label
_atom_site_fract_x
_atom_site_fract_y
_atom_site_fract_z
Fe1 0.000 0.000 0.000
Tc1 0.000 0.500 0.500
Tc2 0.500 0.000 0.500
Mo1 0.500 0.500 0.000

Entry 6:
# Fe2TcMo | the Alexandria database | PBE-GGA | optimized geometry
# - Volume: 13.027 A^3/atom
# - SG: Cm, No. 8
# - Formation energy: 0.151 eV/atom
data_Fe2TcMo
_chemical_formula_sum 'Fe2 Tc1 Mo1'
_symmetry_space_group_name_H-M 'P 1'
_symmetry_Int_Tables_number 1
_cell_length_a 4.549
_cell_length_b 4.549
_cell_length_c 4.584
_cell_angle_alpha 99.26
_cell_angle_beta 99.26
_cell_angle_gamma 33.87
loop_
_symmetry_equiv_pos_as_xyz
'x,y,z'
loop_
_atom_site_label
_atom_site_fract_x
_atom_site_fract_y
_atom_site_fract_z
Fe1 0.000 0.000 0.000
Fe2 0.738 0.738 0.259
Tc1 0.255 0.255 0.794
Mo1 0.492 0.492 0.488

Entry 7:
# FeTc2Mo | the Alexandria database | PBE-GGA | optimized geometry
# - Volume: 14.208 A^3/atom
# - SG: R-3m, No. 166
# - Formation energy: 0.198 eV/atom
data_FeTc2Mo
_chemical_formula_sum 'Fe1 Tc2 Mo1'
_symmetry_space_group_name_H-M 'P 1'
_symmetry_Int_Tables_number 1
_cell_length_a 9.034
_cell_length_b 9.034
_cell_length_c 9.034
_cell_angle_alpha 17.29
_cell_angle_beta 17.29
_cell_angle_gamma 17.29
loop_
_symmetry_equiv_pos_as_xyz
'x,y,z'
loop_
_atom_site_label
_atom_site_fract_x
_atom_site_fract_y
_atom_site_fract_z
Fe1 0.000 0.000 0.000
Tc1 0.255 0.255 0.255
Tc2 0.745 0.745 0.745
Mo1 0.500 0.500 0.500

Entry 8:
# FeTcMo | the Alexandria database | PBE-GGA | optimized geometry
# - Volume: 14.190 A^3/atom
# - SG: Fmm2, No. 42
# - Formation energy: 0.143 eV/atom
data_FeTcMo
_chemical_formula_sum 'Fe1 Tc1 Mo1'
_symmetry_space_group_name_H-M 'P 1'
_symmetry_Int_Tables_number 1
_cell_length_a 6.723
_cell_length_b 6.561
_cell_length_c 2.649
_cell_angle_alpha 81.95
_cell_angle_beta 75.08
_cell_angle_gamma 22.96
loop_
_symmetry_equiv_pos_as_xyz
'x,y,z'
loop_
_atom_site_label
_atom_site_fract_x
_atom_site_fract_y
_atom_site_fract_z
Fe1 0.000 0.000 0.000
Tc1 0.662 0.662 0.338
Mo1 0.336 0.336 0.664

Q: Number 4 is which compound?
A: FeTcMo2